Version 1
# Mg4Ga5Ag | the Alexandria database | PBE | optimized geometry
# Volume, Å³/cell: 410.45
# Theoretical density, g/cm3: 4.5
data_Mg4Ga5Ag
_chemical_formula_sum 'Mg8 Ga10 Ag2'
_space_group_name_H-M_alt 'I 4'
_space_group_IT_number 79
_cell_length_a 8.413
_cell_length_b 8.413
_cell_length_c 5.799
_cell_angle_alpha 90.00
_cell_angle_beta 90.00
_cell_angle_gamma 90.00
loop_
_space_group_symop_operation_xyz
'x,y,z'
'-y,x,z'
'-x,-y,z'
'y,-x,z'
'x+1/2,y+1/2,z+1/2'
'-y+1/2,x+1/2,z+1/2'
'-x+1/2,-y+1/2,z+1/2'
'y+1/2,-x+1/2,z+1/2'
loop_
_atom_site_label
_atom_site_fract_x
_atom_site_fract_y
_atom_site_fract_z
Mg1 0.056 0.312 0.000
Ga1 0.000 0.000 0.765
Ga2 0.095 0.236 0.499
Ag1 0.000 0.000 0.206

Version 2
# Mg4Ga5Ag | the Alexandria database | PBE | optimized geometry
# Volume, Å³/cell: 191.24
# Theoretical density, g/cm3: 4.8
data_Mg4Ga5Ag
_chemical_formula_sum 'Mg4 Ga5 Ag1'
_space_group_name_H-M_alt 'P 4/m m m'
_space_group_IT_number 123
_space_group_name_Hall '-P 4 2'
_cell_length_a 3.295
_cell_length_b 3.295
_cell_length_c 17.617
_cell_angle_alpha 90.00
_cell_angle_beta 90.00
_cell_angle_gamma 90.00
loop_
_atom_site_label
_atom_site_fract_x
_atom_site_fract_y
_atom_site_fract_z
Mg1 0.000 0.000 0.102
Mg2 0.000 0.000 0.304
Ga1 0.500 0.500 0.000
Ga2 0.500 0.500 0.203
Ga3 0.500 0.500 0.407
Ag1 0.000 0.000 0.500

Among the structures shown above, version 2 is the most stable, with the second-best lying 53 meV/atom higher.